Entry 1:
A plane-wave DFT calculation with GGA-PBE was carried out for CdAs3Ir after structural relaxation.

Properties
Total magnetization in μB per cell: 0.00
DOS(E_F) in states/eV/cell: 4.114
Calculated formation energy in eV/atom: 0.542

a b c (Å): 4.9123 4.9123 4.9123
angles (deg): 90.00 90.00 90.00
Fractional positions:
Cd (0.0000, 0.0000, 0.0000)
As (0.0000, 0.5000, 0.5000)
As (0.5000, 0.0000, 0.5000)
As (0.5000, 0.5000, 0.0000)
Ir (0.5000, 0.5000, 0.5000)

Entry 2:
A plane-wave DFT calculation with GGA-PBE was carried out for La2CdAs4Ir3 after structural relaxation.

Properties
Total magnetization in μB per cell: 0.00
DOS(E_F) in states/eV/cell: 4.976
Calculated formation energy in eV/atom: -0.713

a b c (Å): 4.4219 4.4219 10.2926
angles (deg): 90.00 90.00 90.00
Fractional positions:
La (0.0000, 0.5000, 0.2364)
La (0.5000, 0.0000, 0.7636)
Cd (0.0000, 0.0000, 0.5000)
As (0.0000, 0.0000, 0.0000)
As (0.0000, 0.5000, 0.6493)
As (0.5000, 0.0000, 0.3507)
As (0.5000, 0.5000, 0.0000)
Ir (0.0000, 0.5000, 0.8888)
Ir (0.5000, 0.0000, 0.1112)
Ir (0.5000, 0.5000, 0.5000)

Entry 3:
A plane-wave DFT calculation with GGA-PBE was carried out for La2CdAs3Ir4 after structural relaxation.

Properties
Total magnetization in μB per cell: 0.00
DOS(E_F) in states/eV/cell: 3.716
Calculated formation energy in eV/atom: -0.660

a b c (Å): 4.1731 4.1731 11.2676
angles (deg): 90.00 90.00 90.00
Fractional positions:
La (0.0000, 0.5000, 0.2473)
La (0.5000, 0.0000, 0.7527)
Cd (0.0000, 0.0000, 0.5000)
As (0.0000, 0.5000, 0.8738)
As (0.5000, 0.0000, 0.1262)
As (0.5000, 0.5000, 0.5000)
Ir (0.0000, 0.0000, 0.0000)
Ir (0.0000, 0.5000, 0.6618)
Ir (0.5000, 0.0000, 0.3382)
Ir (0.5000, 0.5000, 0.0000)

Entry 4:
A plane-wave DFT calculation with GGA-PBE was carried out for Cd2AsIrN after structural relaxation.

Properties
Total magnetization in μB per cell: 0.00
DOS(E_F) in states/eV/cell: 3.536
Formation energy (no corrections) in kJ/mol of formula units: 607

a b c (Å): 5.3113 5.3113 3.5365
angles (deg): 90.00 90.00 90.00
Fractional positions:
Cd (0.0000, 0.5000, 0.0000)
Cd (0.5000, 0.0000, 0.0000)
As (0.0000, 0.0000, 0.0000)
Ir (0.5000, 0.5000, 0.5000)
N (0.0000, 0.0000, 0.5000)

Entry 5:
A plane-wave DFT calculation with GGA-PBE was carried out for CdAsIrO6 after structural relaxation.

Properties
Total magnetization in μB per cell: 4.05
DOS(E_F) in states/eV/cell: 6.677
Formation energy (no corrections) in kJ/mol of formula units: -859

a b c (Å): 5.1226 5.1226 9.7449
angles (deg): 90.00 90.00 120.00
Fractional positions:
Cd (0.0000, 0.0000, 0.0000)
Cd (0.0000, 0.0000, 0.5000)
As (0.3333, 0.6667, 0.2500)
As (0.6667, 0.3333, 0.7500)
Ir (0.3333, 0.6667, 0.7500)
Ir (0.6667, 0.3333, 0.2500)
O (0.0137, 0.3748, 0.1432)
O (0.0137, 0.6389, 0.3568)
O (0.3611, 0.3748, 0.3568)
O (0.3611, 0.9863, 0.1432)
O (0.3748, 0.0137, 0.6432)
O (0.3748, 0.3611, 0.8568)
O (0.6252, 0.6389, 0.1432)
O (0.6252, 0.9863, 0.3568)
O (0.6389, 0.0137, 0.8568)
O (0.6389, 0.6252, 0.6432)
O (0.9863, 0.3611, 0.6432)
O (0.9863, 0.6252, 0.8568)

Entry 6:
A plane-wave DFT calculation with GGA-PBE was carried out for RbCd2AsIr after structural relaxation.

Properties
Total magnetization in μB per cell: 0.00
DOS(E_F) in states/eV/cell: 3.995
Calculated formation energy in eV/atom: -0.064

a b c (Å): 5.3715 5.3715 4.7768
angles (deg): 90.00 90.00 90.00
Fractional positions:
Rb (0.0000, 0.0000, 0.0000)
Cd (0.0000, 0.5000, 0.5000)
Cd (0.5000, 0.0000, 0.5000)
As (0.5000, 0.5000, 0.0000)
Ir (0.5000, 0.5000, 0.5000)

Entry 7:
A plane-wave DFT calculation with GGA-PBE was carried out for ScCd2AsIr after structural relaxation.

Properties
Total magnetization in μB per cell: 0.00
DOS(E_F) in states/eV/cell: 3.401
Calculated formation energy in eV/atom: 0.183

a b c (Å): 5.1479 5.1479 4.8656
angles (deg): 90.00 90.00 90.00
Fractional positions:
Sc (0.0000, 0.0000, 0.0000)
Cd (0.0000, 0.5000, 0.5000)
Cd (0.5000, 0.0000, 0.5000)
As (0.5000, 0.5000, 0.0000)
Ir (0.0000, 0.0000, 0.5000)

Entry 8:
A plane-wave DFT calculation with GGA-PBE was carried out for YCdAs2Ir after structural relaxation.

Properties
Total magnetization in μB per cell: 0.00
DOS(E_F) in states/eV/cell: 6.493
Calculated formation energy in eV/atom: 1.179

a b c (Å): 4.8964 4.8964 5.5522
angles (deg): 90.00 90.00 90.00
Fractional positions:
Y (0.0000, 0.0000, 0.0000)
Cd (0.0000, 0.0000, 0.5000)
As (0.0000, 0.5000, 0.5000)
As (0.5000, 0.0000, 0.5000)
Ir (0.5000, 0.5000, 0.0000)

Entry 9:
A plane-wave DFT calculation with GGA-PBE was carried out for ZrCd2AsIr after structural relaxation.

Properties
Total magnetization in μB per cell: 0.00
DOS(E_F) in states/eV/cell: 5.594
Calculated formation energy in eV/atom: 1.222

a b c (Å): 5.5331 5.5331 4.8094
angles (deg): 90.00 90.00 90.00
Fractional positions:
Zr (0.0000, 0.0000, 0.0000)
Cd (0.0000, 0.5000, 0.0000)
Cd (0.5000, 0.0000, 0.0000)
As (0.5000, 0.5000, 0.5000)
Ir (0.0000, 0.0000, 0.5000)

Entry 10:
A plane-wave DFT calculation with GGA-PBE was carried out for K2Cd2As after structural relaxation.

Properties
Total magnetization in μB per cell: 0.00
DOS(E_F) in states/eV/cell: 0.963
Calculated formation energy in eV/atom: -0.058

a b c (Å): 6.3334 6.3334 6.3334
angles (deg): 114.66 114.66 99.53
Fractional positions:
K (0.2500, 0.7500, 0.5000)
K (0.7500, 0.2500, 0.5000)
Cd (0.1740, 0.1740, 0.0000)
Cd (0.8260, 0.8260, 0.0000)
As (0.5000, 0.5000, 0.0000)

Entry 11:
A plane-wave DFT calculation with GGA-PBE was carried out for K4Cd5As6 after structural relaxation.

Properties
Total magnetization in μB per cell: 0.00
DOS(E_F) in states/eV/cell: 12.070
Calculated formation energy in eV/atom: -0.305

a b c (Å): 10.6924 10.6924 18.2590
angles (deg): 90.00 90.00 155.33
Fractional positions:
K (0.0026, 0.9974, 0.5000)
K (0.0044, 0.9956, 0.7535)
K (0.1796, 0.8204, 0.3059)
K (0.1807, 0.8193, 0.9447)
K (0.8193, 0.1807, 0.4447)
K (0.8204, 0.1796, 0.8059)
K (0.9956, 0.0044, 0.2535)
K (0.9974, 0.0026, 0.0000)
Cd (0.1321, 0.8679, 0.6262)
Cd (0.2770, 0.7230, 0.6261)
Cd (0.3648, 0.6352, 0.2603)
Cd (0.3654, 0.6346, 0.9917)
Cd (0.4297, 0.5703, 0.6287)
Cd (0.5703, 0.4297, 0.1287)
Cd (0.6346, 0.3654, 0.4917)
Cd (0.6352, 0.3648, 0.7603)
Cd (0.7230, 0.2770, 0.1261)
Cd (0.8679, 0.1321, 0.1262)
As (0.1385, 0.8615, 0.1244)
As (0.2056, 0.7944, 0.4975)
As (0.2061, 0.7939, 0.7547)
As (0.4423, 0.5577, 0.1264)
As (0.4438, 0.5562, 0.3847)
As (0.4446, 0.5554, 0.8676)
As (0.5554, 0.4446, 0.3676)
As (0.5562, 0.4438, 0.8847)
As (0.5577, 0.4423, 0.6264)
As (0.7939, 0.2061, 0.2547)
As (0.7944, 0.2056, 0.9975)
As (0.8615, 0.1385, 0.6244)

Entry 12:
A plane-wave DFT calculation with GGA-PBE was carried out for K2Cd2As after structural relaxation.

Properties
Total magnetization in μB per cell: 0.00
DOS(E_F) in states/eV/cell: 5.682
Calculated formation energy in eV/atom: -0.127

a b c (Å): 7.5422 7.5422 5.6183
angles (deg): 90.00 90.00 90.00
Fractional positions:
K (0.1858, 0.3142, 0.0000)
K (0.3142, 0.8142, 0.0000)
K (0.6858, 0.1858, 0.0000)
K (0.8142, 0.6858, 0.0000)
Cd (0.1344, 0.6344, 0.5000)
Cd (0.3656, 0.1344, 0.5000)
Cd (0.6344, 0.8656, 0.5000)
Cd (0.8656, 0.3656, 0.5000)
As (0.0000, 0.0000, 0.5000)
As (0.5000, 0.5000, 0.5000)

Entry 13:
A plane-wave DFT calculation with GGA-PBE was carried out for K5CdAs2 after structural relaxation.

Properties
Total magnetization in μB per cell: 0.43
DOS(E_F) in states/eV/cell: 4.105
Calculated formation energy in eV/atom: -0.290

a b c (Å): 10.1761 10.1761 10.1761
angles (deg): 33.66 33.66 33.66
Fractional positions:
K (0.0000, 0.0000, 0.0000)
K (0.1239, 0.1239, 0.1239)
K (0.2788, 0.2788, 0.2788)
K (0.7212, 0.7212, 0.7212)
K (0.8761, 0.8761, 0.8761)
Cd (0.5000, 0.5000, 0.5000)
As (0.4079, 0.4079, 0.4079)
As (0.5921, 0.5921, 0.5921)

Entry 14:
A plane-wave DFT calculation with GGA-PBE was carried out for K2Cd2As after structural relaxation.

Properties
Total magnetization in μB per cell: 0.00
DOS(E_F) in states/eV/cell: 3.058
Calculated formation energy in eV/atom: -0.026

a b c (Å): 11.2615 11.2615 11.2615
angles (deg): 159.44 159.44 29.24
Fractional positions:
K (0.0899, 0.0899, 0.0000)
K (0.9101, 0.9101, 0.0000)
Cd (0.2500, 0.7500, 0.5000)
Cd (0.7500, 0.2500, 0.5000)
As (0.5000, 0.5000, 0.0000)

Entry 15:
A plane-wave DFT calculation with GGA-PBE was carried out for K2CdAs2 after structural relaxation.

Properties
Total magnetization in μB per cell: 0.00
DOS(E_F) in states/eV/cell: 1.459
Calculated formation energy in eV/atom: -0.310

a b c (Å): 7.2760 7.2760 5.4216
angles (deg): 90.00 90.00 90.00
Fractional positions:
K (0.1704, 0.3296, 0.0000)
K (0.3296, 0.8296, 0.0000)
K (0.6704, 0.1704, 0.0000)
K (0.8296, 0.6704, 0.0000)
Cd (0.0000, 0.0000, 0.5000)
Cd (0.5000, 0.5000, 0.5000)
As (0.1245, 0.6245, 0.5000)
As (0.3755, 0.1245, 0.5000)
As (0.6245, 0.8755, 0.5000)
As (0.8755, 0.3755, 0.5000)

Entry 16:
A plane-wave DFT calculation with GGA-PBE was carried out for K2CdAs2 after structural relaxation.

Properties
Total magnetization in μB per cell: 0.00
DOS(E_F) in states/eV/cell: 2.199
Calculated formation energy in eV/atom: 0.350

a b c (Å): 3.3788 3.3788 15.3455
angles (deg): 90.00 90.00 90.00
Fractional positions:
K (0.0000, 0.0000, 0.1335)
K (0.0000, 0.0000, 0.8665)
Cd (0.0000, 0.0000, 0.5000)
As (0.0000, 0.0000, 0.3342)
As (0.0000, 0.0000, 0.6658)

Entry 17:
A plane-wave DFT calculation with GGA-PBE was carried out for K3Cd6As5 after structural relaxation.

Properties
Total magnetization in μB per cell: 0.00
DOS(E_F) in states/eV/cell: 2.364
Calculated formation energy in eV/atom: -0.287

a b c (Å): 4.5029 14.1522 11.7595
angles (deg): 90.00 90.00 90.00
Fractional positions:
K (0.2500, 0.0996, 0.2438)
K (0.2500, 0.4004, 0.2438)
K (0.2500, 0.7500, 0.2557)
K (0.7500, 0.2500, 0.7443)
K (0.7500, 0.5996, 0.7562)
K (0.7500, 0.9004, 0.7562)
Cd (0.2500, 0.0529, 0.6148)
Cd (0.2500, 0.2500, 0.4835)
Cd (0.2500, 0.2500, 0.9804)
Cd (0.2500, 0.4471, 0.6148)
Cd (0.2500, 0.5829, 0.0113)
Cd (0.2500, 0.9171, 0.0113)
Cd (0.7500, 0.0829, 0.9887)
Cd (0.7500, 0.4171, 0.9887)
Cd (0.7500, 0.5529, 0.3852)
Cd (0.7500, 0.7500, 0.0196)
Cd (0.7500, 0.7500, 0.5165)
Cd (0.7500, 0.9471, 0.3852)
As (0.2500, 0.0757, 0.8505)
As (0.2500, 0.4243, 0.8505)
As (0.2500, 0.6202, 0.5079)
As (0.2500, 0.7500, 0.8837)
As (0.2500, 0.8798, 0.5079)
As (0.7500, 0.1202, 0.4921)
As (0.7500, 0.2500, 0.1163)
As (0.7500, 0.3798, 0.4921)
As (0.7500, 0.5757, 0.1495)
As (0.7500, 0.9243, 0.1495)

Entry 18:
A plane-wave DFT calculation with GGA-PBE was carried out for K3CdAs2 after structural relaxation.

Properties
Total magnetization in μB per cell: 1.89
DOS(E_F) in states/eV/cell: 10.335
Calculated formation energy in eV/atom: -0.323

a b c (Å): 9.1901 9.1901 9.1901
angles (deg): 128.09 70.43 135.89
Fractional positions:
K (0.1821, 0.6878, 0.8699)
K (0.2500, 0.2500, 0.0000)
K (0.3179, 0.1878, 0.5057)
K (0.6821, 0.8122, 0.4943)
K (0.7500, 0.7500, 0.0000)
K (0.8179, 0.3122, 0.1301)
Cd (0.2500, 0.7500, 0.5000)
Cd (0.7500, 0.2500, 0.5000)
As (0.1005, 0.3024, 0.4029)
As (0.3995, 0.8024, 0.2019)
As (0.6005, 0.1976, 0.7981)
As (0.8995, 0.6976, 0.5971)

Entry 19:
A plane-wave DFT calculation with GGA-PBE was carried out for KCdAs3 after structural relaxation.

Properties
Total magnetization in μB per cell: 0.00
DOS(E_F) in states/eV/cell: 5.028
Calculated formation energy in eV/atom: 1.433

a b c (Å): 5.4855 5.4855 5.4855
angles (deg): 90.00 90.00 90.00
Fractional positions:
K (0.0000, 0.0000, 0.0000)
Cd (0.5000, 0.5000, 0.5000)
As (0.0000, 0.0000, 0.5000)
As (0.0000, 0.5000, 0.0000)
As (0.5000, 0.0000, 0.0000)

Entry 20:
A plane-wave DFT calculation with GGA-PBE was carried out for KCdAs3 after structural relaxation.

Properties
Total magnetization in μB per cell: 0.00
DOS(E_F) in states/eV/cell: 3.890
Calculated formation energy in eV/atom: 0.449

a b c (Å): 5.3048 5.3048 5.3048
angles (deg): 90.00 90.00 90.00
Fractional positions:
K (0.0000, 0.0000, 0.0000)
Cd (0.5000, 0.5000, 0.5000)
As (0.0000, 0.5000, 0.5000)
As (0.5000, 0.0000, 0.5000)
As (0.5000, 0.5000, 0.0000)

no.,E_tot (eV/cell)
1,-21.016
2,-63.085
3,-66.766
4,-17.377
5,-106.159
6,-16.631
7,-20.758
8,-19.644
9,-17.781
10,-8.967
11,-82.889
12,-18.616
13,-18.021
14,-8.803
15,-27.914
16,-10.660
17,-72.110
18,-30.893
19,-8.796
20,-13.714